Compound: Lu2InAg
Source: the Open Quantum Materials Database
Functional: PBE-GGA
Structure: optimized geometry

Cell: 4.8582 4.8582 9.7665 Å, 90.00 90.00 120.00°
Space group P6_3/mmc (No. 194)
One atom of each set of equivalent atoms:
Lu  0.3333  0.6667  0.0909 (multiplicity 4)
In  0.0000  0.0000  0.2500 (multiplicity 2)
Ag  0.3333  0.6667  0.7500 (multiplicity 2)

Computed properties:
For the distance to the lowest polymorph of the same formula, the calculation gives 0.0 meV/atom. The calculation puts the mass density at 9526 kg/m³.

=====

Compound: BiAu
Source: the Open Quantum Materials Database
Functional: PBE-GGA
Structure: optimized geometry

Cell: 4.095 11.046 4.359 Å, 90.00 90.00 90.00°
Space group Cmcm (No. 63)
One atom of each set of equivalent atoms:
Bi  0.000  0.144  0.250 (multiplicity 4)
Au  0.000  0.412  0.250 (multiplicity 4)

Computed properties:
The calculation puts the mass density at 13676 kg/m³. The total DFT energy (no corrections) comes out at -3.7218 eV/atom.

=====

Compound: SmO2
Source: the Open Quantum Materials Database
Functional: PBE-GGA
Structure: optimized geometry

Cell: 5.301 5.301 3.631 Å, 90.00 90.00 90.00°
Space group P4_2/mnm (No. 136)
One atom of each set of equivalent atoms:
Sm  0.000  0.000  0.000 (multiplicity 2)
O  0.193  0.193  0.500 (multiplicity 4)

Computed properties:
The calculation puts the mass density at 5934 kg/m³. The total DFT energy (no corrections) comes out at -7.3227 eV/atom.

=====

Compound: Tb2CoGe2
Source: the Open Quantum Materials Database
Functional: PBE-GGA
Structure: optimized geometry

Cell: 10.497 4.200 10.241 Å, 90.00 117.56 90.00°
Space group C2/m (No. 12)
One atom of each set of equivalent atoms:
Tb  0.006  0.000  0.333 (multiplicity 4)
Tb  0.189  0.000  0.116 (multiplicity 4)
Co  0.225  0.500  0.344 (multiplicity 4)
Ge  0.013  0.500  0.878 (multiplicity 4)
Ge  0.159  0.500  0.561 (multiplicity 4)

Computed properties:
The calculation puts the mass density at 8663 kg/m³. The total DFT energy (no corrections) comes out at -5.8675 eV/atom.